Record 1
Below is ZnIn2Ag4 after structural relaxation, with properties calculated at the PBE level.

Results
E_form ... 2 kJ per mole of atoms
Space group ... C2/m, No. 12
Magnetic moment ... 0.000 μB per atom

Cell lengths 6.140, 6.140, 7.357 Å; angles 93.94, 93.94, 30.30 degrees
Positions (direct):
Zn 0.000 0.000 0.000
In 0.351 0.351 0.316
In 0.649 0.649 0.684
Ag 0.080 0.080 0.364
Ag 0.324 0.324 0.902
Ag 0.676 0.676 0.098
Ag 0.920 0.920 0.636

Record 2
Below is CaFe2Re after structural relaxation, with properties calculated at the PBE level.

Results
E_form ... 57 kJ per mole of atoms
Space group ... Cmmm, No. 65
Magnetic moment ... 0.915 μB per atom

Cell lengths 4.682, 4.682, 2.748 Å; angles 90.00, 90.00, 90.06 degrees
Positions (direct):
Ca 0.000 0.000 0.000
Fe 0.000 0.500 0.500
Fe 0.500 0.000 0.500
Re 0.500 0.500 0.000

Record 3
Below is GaSiNi after structural relaxation, with properties calculated at the PBE level.

Results
Space group ... F-43m, No. 216
Magnetic moment ... 0.000 μB per atom
Uncorrected formation energy ... -335 meV/atom

Cell lengths 3.929, 3.929, 3.929 Å; angles 60.00, 60.00, 60.00 degrees
Positions (direct):
Ga 0.000 0.000 0.000
Si 0.500 0.500 0.500
Ni 0.250 0.250 0.250

Record 4
Below is BaCd2Ga2 after structural relaxation, with properties calculated at the PBE level.

Results
E_form ... -10 kJ per mole of atoms
Space group ... P4/mbm, No. 127
Magnetic moment ... 0.000 μB per atom

Cell lengths 8.699, 8.699, 3.414 Å; angles 90.00, 90.00, 90.00 degrees
Positions (direct):
Ba 0.000 0.000 0.000
Ba 0.500 0.500 0.000
Cd 0.157 0.343 0.500
Cd 0.343 0.843 0.500
Cd 0.657 0.157 0.500
Cd 0.843 0.657 0.500
Ga 0.129 0.629 0.000
Ga 0.371 0.129 0.000
Ga 0.629 0.871 0.000
Ga 0.871 0.371 0.000